A relaxed VMo2 crystal, computed with PBE.

Calculated values
* Fermi-level density of states: 0.5062 states/eV per atom
* formation energy: -0.37 eV per formula unit

a = 5.1490 Å, b = 5.1490 Å, c = 4.4168 Å
α = 90.00°, β = 90.00°, γ = 129.62°
Last column: nearest neighbours and their distance in Å.
Element x y z (fractional)
V1 0.0826 0.9174 0.7500  6 Mo 2.68-2.70, 2 V 2.69
V2 0.9174 0.0826 0.2500  6 Mo 2.68-2.70, 2 V 2.69
Mo1 0.2485 0.7515 0.2500  4 Mo 2.68-2.71, 4 V 2.70
Mo2 0.4169 0.5831 0.7500  6 Mo 2.68-2.71, 2 V 2.68
Mo3 0.5831 0.4169 0.2500  6 Mo 2.68-2.71, 2 V 2.68
Mo4 0.7515 0.2485 0.7500  4 Mo 2.68-2.71, 4 V 2.70

---

A relaxed V7Mo3 crystal, computed with PBE.

Calculated values
* Fermi-level density of states: 1.0196 states/eV per atom
* formation energy: 2.47 eV per formula unit

a = 8.2646 Å, b = 8.2646 Å, c = 5.1109 Å
α = 90.00°, β = 90.00°, γ = 120.00°
Last column: nearest neighbours and their distance in Å.
Element x y z (fractional)
V1 0.0000 0.5000 0.0000  4 Mo 2.47, 4 V 2.56-2.71
V2 0.0000 0.5000 0.5000  4 Mo 2.47, 4 V 2.56-2.71
V3 0.1231 0.2461 0.2500  4 Mo 2.71-2.90, 5 V 3.01-3.03
V4 0.1231 0.8769 0.2500  4 Mo 2.71-2.90, 5 V 3.01-3.03
V5 0.2461 0.1231 0.7500  4 Mo 2.71-2.90, 5 V 3.01-3.03
V6 0.3333 0.6667 0.2500  9 V 2.71-3.01
V7 0.5000 0.0000 0.0000  4 Mo 2.47, 4 V 2.56-2.71
V8 0.5000 0.0000 0.5000  4 Mo 2.47, 4 V 2.56-2.71
V9 0.5000 0.5000 0.0000  4 Mo 2.47, 4 V 2.56-2.71
V10 0.5000 0.5000 0.5000  4 Mo 2.47, 4 V 2.56-2.71
V11 0.6667 0.3333 0.7500  9 V 2.71-3.01
V12 0.7539 0.8769 0.2500  4 Mo 2.71-2.90, 5 V 3.01-3.03
V13 0.8769 0.1231 0.7500  4 Mo 2.71-2.90, 5 V 3.01-3.03
V14 0.8769 0.7539 0.7500  4 Mo 2.71-2.90, 5 V 3.01-3.03
Mo1 0.2181 0.4362 0.7500  6 V 2.47-2.71
Mo2 0.2181 0.7819 0.7500  6 V 2.47-2.71
Mo3 0.4362 0.2181 0.2500  6 V 2.47-2.71
Mo4 0.5638 0.7819 0.7500  6 V 2.47-2.71
Mo5 0.7819 0.2181 0.2500  6 V 2.47-2.71
Mo6 0.7819 0.5638 0.2500  6 V 2.47-2.71

---

A relaxed V3Mo7 crystal, computed with PBE.

Calculated values
* Fermi-level density of states: 0.4420 states/eV per atom
* formation energy: -1.25 eV per formula unit

a = 6.9625 Å, b = 6.9625 Å, c = 5.3871 Å
α = 104.97°, β = 104.97°, γ = 36.90°
Last column: nearest neighbours and their distance in Å.
Element x y z (fractional)
V1 0.0000 0.0000 0.0000  8 Mo 2.69-2.70
V2 0.1996 0.1996 0.8038  8 Mo 2.66-2.73
V3 0.8004 0.8004 0.1962  8 Mo 2.66-2.73
Mo1 0.0000 0.0000 0.5000  4 V 2.69-2.70, 4 Mo 2.71
Mo2 0.1999 0.1999 0.2970  5 V 2.66-2.73, 3 Mo 2.69
Mo3 0.3988 0.3988 0.0987  5 V 2.68-2.70, 3 Mo 2.68-2.72
Mo4 0.3990 0.3990 0.6009  8 Mo 2.68-2.72
Mo5 0.6010 0.6010 0.3991  8 Mo 2.68-2.72
Mo6 0.6012 0.6012 0.9013  5 V 2.68-2.70, 3 Mo 2.68-2.72
Mo7 0.8001 0.8001 0.7030  5 V 2.66-2.73, 3 Mo 2.69

---

A relaxed VMo crystal, computed with PBE.

Calculated values
* Fermi-level density of states: 0.8798 states/eV per atom
* formation energy: 1.71 eV per formula unit

a = 3.5686 Å, b = 3.5686 Å, c = 3.5686 Å
α = 60.00°, β = 60.00°, γ = 60.00°
Last column: nearest neighbours and their distance in Å.
Element x y z (fractional)
V1 0.0000 0.0000 0.0000  6 Mo 2.52
Mo1 0.5000 0.5000 0.5000  6 V 2.52

---

A relaxed V3Mo7 crystal, computed with PBE.

Calculated values
* Fermi-level density of states: 0.9367 states/eV per atom
* formation energy: 2.89 eV per formula unit

a = 8.0459 Å, b = 8.0459 Å, c = 5.5679 Å
α = 90.00°, β = 90.00°, γ = 120.00°
Last column: nearest neighbours and their distance in Å.
Element x y z (fractional)
V1 0.2078 0.4156 0.0000  8 Mo 2.49-2.78
V2 0.2078 0.7922 0.0000  8 Mo 2.49-2.78
V3 0.4156 0.2078 0.5000  8 Mo 2.49-2.78
V4 0.5844 0.7922 0.0000  8 Mo 2.49-2.78
V5 0.7922 0.2078 0.5000  8 Mo 2.49-2.78
V6 0.7922 0.5844 0.5000  8 Mo 2.49-2.78
Mo1 0.0647 0.5324 0.6926  4 V 2.49-2.66, 1 Mo 2.68
Mo2 0.1217 0.2434 0.4511  3 V 2.53-2.78
Mo3 0.1217 0.8783 0.4511  3 V 2.53-2.78
Mo4 0.2434 0.1217 0.9511  3 V 2.53-2.78
Mo5 0.3333 0.6667 0.3471  3 V 2.61, 6 Mo 2.68-2.90
Mo6 0.4676 0.5324 0.6926  4 V 2.49-2.66, 1 Mo 2.68
Mo7 0.4676 0.9353 0.6926  4 V 2.49-2.66, 1 Mo 2.68
Mo8 0.5324 0.0647 0.1926  4 V 2.49-2.66, 1 Mo 2.68
Mo9 0.5324 0.4676 0.1926  4 V 2.49-2.66, 1 Mo 2.68
Mo10 0.6667 0.3333 0.8471  3 V 2.61, 6 Mo 2.68-2.90
Mo11 0.7566 0.8783 0.4511  3 V 2.53-2.78
Mo12 0.8783 0.1217 0.9511  3 V 2.53-2.78
Mo13 0.8783 0.7566 0.9511  3 V 2.53-2.78
Mo14 0.9353 0.4676 0.1926  4 V 2.49-2.66, 1 Mo 2.68

---

A relaxed V5Mo6 crystal, computed with PBE.

Calculated values
* Fermi-level density of states: 1.0256 states/eV per atom
* formation energy: 2.04 eV per formula unit

a = 6.5955 Å, b = 6.5955 Å, c = 4.4786 Å
α = 109.75°, β = 109.75°, γ = 90.26°
Last column: nearest neighbours and their distance in Å.
Element x y z (fractional)
V1 0.0000 0.0000 0.0000  4 Mo 2.63, 4 V 2.68
V2 0.1578 0.8422 0.5000  4 Mo 2.56-2.57, 4 V 2.68-2.73
V3 0.3244 0.6756 0.0000  4 Mo 2.57-2.60, 2 V 2.73
V4 0.6756 0.3244 0.0000  4 Mo 2.57-2.60, 2 V 2.73
V5 0.8422 0.1578 0.5000  4 Mo 2.56-2.57, 4 V 2.68-2.73
Mo1 0.0951 0.4256 0.2601  3 V 2.56-2.63, 4 Mo 2.72-2.75
Mo2 0.2579 0.2579 0.7571  4 V 2.57, 4 Mo 2.72
Mo3 0.4256 0.0951 0.2601  3 V 2.56-2.63, 4 Mo 2.72-2.75
Mo4 0.5744 0.9049 0.7399  3 V 2.56-2.63, 4 Mo 2.72-2.75
Mo5 0.7421 0.7421 0.2429  4 V 2.57, 4 Mo 2.72
Mo6 0.9049 0.5744 0.7399  3 V 2.56-2.63, 4 Mo 2.72-2.75

---

A relaxed VMo crystal, computed with PBE.

Calculated values
* Fermi-level density of states: 1.1440 states/eV per atom
* formation energy: 0.41 eV per formula unit

a = 4.5493 Å, b = 2.5034 Å, c = 5.2821 Å
α = 90.00°, β = 90.00°, γ = 90.00°
Last column: nearest neighbours and their distance in Å.
Element x y z (fractional)
V1 0.2500 0.0000 0.1357  4 V 2.50-2.69
V2 0.7500 0.0000 0.8643  4 V 2.50-2.69
Mo1 0.2500 0.5000 0.6423  4 Mo 2.50-2.73
Mo2 0.7500 0.5000 0.3577  4 Mo 2.50-2.73

---

A relaxed VMo2 crystal, computed with PBE.

Calculated values
* Fermi-level density of states: 0.5714 states/eV per atom
* formation energy: -0.39 eV per formula unit

a = 5.1623 Å, b = 5.1623 Å, c = 5.3820 Å
α = 121.41°, β = 121.41°, γ = 50.19°
Last column: nearest neighbours and their distance in Å.
Element x y z (fractional)
V1 0.1676 0.1676 0.2539  7 Mo 2.67-2.71, 1 V 2.73
V2 0.8324 0.8324 0.7461  7 Mo 2.67-2.71, 1 V 2.73
Mo1 0.1668 0.1668 0.7497  4 V 2.67-2.71, 4 Mo 2.70
Mo2 0.5005 0.5005 0.2479  5 Mo 2.66-2.72, 3 V 2.68-2.69
Mo3 0.4995 0.4995 0.7521  5 Mo 2.66-2.72, 3 V 2.68-2.69
Mo4 0.8332 0.8332 0.2503  4 V 2.67-2.71, 4 Mo 2.70